No. 1
# CuHgCl3, optimized geometry, DFT PBE
# Distance to the lowest polymorph of the same formula = 4.3 meV/atom
data_CuHgCl3
_chemical_formula_sum 'Cu18 Hg18 Cl54'
_space_group_name_H-M_alt 'R -3'
_space_group_IT_number 148
_space_group_name_Hall '-R 3'
_cell_length_a 16.5691
_cell_length_b 16.5691
_cell_length_c 11.4515
_cell_angle_alpha 90.00
_cell_angle_beta 90.00
_cell_angle_gamma 120.00
loop_
_atom_site_label
_atom_site_type_symbol
_atom_site_fract_x
_atom_site_fract_y
_atom_site_fract_z
_atom_site_occupancy
Cu1 Cu 0.0125 0.1794 0.2646 1
Hg1 Hg 0.0180 0.4570 0.2353 1
Cl1 Cl 0.0224 0.3074 0.3579 1
Cl2 Cl 0.0586 0.1573 0.6394 1
Cl3 Cl 0.0949 0.1911 0.1108 1

---

No. 2
# Cu2HgCl, optimized geometry, DFT PBE
# DOS(E_F) = 1.1247 states/eV per atom
# Distance to the lowest polymorph of the same formula = 641.2 meV/atom
data_Cu2HgCl
_chemical_formula_sum 'Cu8 Hg4 Cl4'
_space_group_name_H-M_alt 'F -4 3 m'
_space_group_IT_number 216
_space_group_name_Hall 'F -4 2 3'
_cell_length_a 6.688
_cell_length_b 6.688
_cell_length_c 6.688
_cell_angle_alpha 90.00
_cell_angle_beta 90.00
_cell_angle_gamma 90.00
loop_
_atom_site_label
_atom_site_type_symbol
_atom_site_fract_x
_atom_site_fract_y
_atom_site_fract_z
_atom_site_occupancy
Cu1 Cu 0.000 0.000 0.000 1
Cu2 Cu 0.250 0.250 0.250 1
Hg1 Hg 0.000 0.000 0.500 1
Cl1 Cl 0.250 0.250 0.750 1

---

No. 3
# Cu2HgCl, optimized geometry, DFT PBE
# DOS(E_F) = 0.2766 states/eV per atom
# Distance to the lowest polymorph of the same formula = 449.2 meV/atom
data_Cu2HgCl
_chemical_formula_sum 'Cu8 Hg4 Cl4'
_space_group_name_H-M_alt 'F m -3 m'
_space_group_IT_number 225
_space_group_name_Hall '-F 4 2 3'
_cell_length_a 6.581
_cell_length_b 6.581
_cell_length_c 6.581
_cell_angle_alpha 90.00
_cell_angle_beta 90.00
_cell_angle_gamma 90.00
loop_
_atom_site_label
_atom_site_type_symbol
_atom_site_fract_x
_atom_site_fract_y
_atom_site_fract_z
_atom_site_occupancy
Cu1 Cu 0.250 0.250 0.250 1
Hg1 Hg 0.000 0.000 0.000 1
Cl1 Cl 0.000 0.000 0.500 1

---

No. 4
# CuHg2Cl, optimized geometry, DFT PBE
# DOS(E_F) = 0.0839 states/eV per atom
# Distance to the lowest polymorph of the same formula = 0.0 meV/atom
data_CuHg2Cl
_chemical_formula_sum 'Cu2 Hg4 Cl2'
_space_group_name_H-M_alt 'C m m m'
_space_group_IT_number 65
_space_group_name_Hall '-C 2 2'
_cell_length_a 4.542
_cell_length_b 12.738
_cell_length_c 3.708
_cell_angle_alpha 90.00
_cell_angle_beta 90.00
_cell_angle_gamma 90.00
loop_
_atom_site_label
_atom_site_type_symbol
_atom_site_fract_x
_atom_site_fract_y
_atom_site_fract_z
_atom_site_occupancy
Cu1 Cu 0.000 0.000 0.000 1
Hg1 Hg 0.000 0.167 0.500 1
Cl1 Cl 0.000 0.500 0.000 1

---

No. 5
# Cu3Hg2Cl8, optimized geometry, DFT PBE
# DOS(E_F) = 0.2783 states/eV per atom
# Final energy = -2.6316 eV/atom
data_Cu3Hg2Cl8
_chemical_formula_sum 'Cu12 Hg8 Cl32'
_space_group_name_H-M_alt 'C 1 2/c 1'
_space_group_IT_number 15
_space_group_name_Hall '-C 2yc'
_cell_length_a 14.945
_cell_length_b 7.045
_cell_length_c 16.004
_cell_angle_alpha 90.00
_cell_angle_beta 100.10
_cell_angle_gamma 90.00
loop_
_atom_site_label
_atom_site_type_symbol
_atom_site_fract_x
_atom_site_fract_y
_atom_site_fract_z
_atom_site_occupancy
Cu1 Cu 0.000 0.090 0.250 1
Cu2 Cu 0.200 0.202 0.073 1
Hg1 Hg 0.241 0.212 0.347 1
Cl1 Cl 0.093 0.079 0.366 1
Cl2 Cl 0.130 0.073 0.612 1
Cl3 Cl 0.176 0.385 0.190 1
Cl4 Cl 0.178 0.433 0.972 1

---

No. 6
# Cu3Hg2Cl6, optimized geometry, DFT PBE
# DOS(E_F) = 0.5002 states/eV per atom
# Final energy = -2.6527 eV/atom
data_Cu3Hg2Cl6
_chemical_formula_sum 'Cu12 Hg8 Cl24'
_space_group_name_H-M_alt 'C 1 2/c 1'
_space_group_IT_number 15
_space_group_name_Hall '-C 2yc'
_cell_length_a 10.504
_cell_length_b 8.787
_cell_length_c 14.093
_cell_angle_alpha 90.00
_cell_angle_beta 93.70
_cell_angle_gamma 90.00
loop_
_atom_site_label
_atom_site_type_symbol
_atom_site_fract_x
_atom_site_fract_y
_atom_site_fract_z
_atom_site_occupancy
Cu1 Cu 0.000 0.023 0.250 1
Cu2 Cu 0.132 0.488 0.744 1
Hg1 Hg 0.138 0.205 0.465 1
Cl1 Cl 0.031 0.451 0.874 1
Cl2 Cl 0.069 0.124 0.107 1
Cl3 Cl 0.193 0.063 0.816 1

---

No. 7
# CuHgCl3, optimized geometry, DFT PBE
# DOS(E_F) = 0.4136 states/eV per atom
# Distance to the lowest polymorph of the same formula = 0.0 meV/atom
data_CuHgCl3
_chemical_formula_sum 'Cu8 Hg8 Cl24'
_space_group_name_H-M_alt 'C 1 2/c 1'
_space_group_IT_number 15
_space_group_name_Hall '-C 2yc'
_cell_length_a 13.938
_cell_length_b 10.602
_cell_length_c 7.621
_cell_angle_alpha 90.00
_cell_angle_beta 111.78
_cell_angle_gamma 90.00
loop_
_atom_site_label
_atom_site_type_symbol
_atom_site_fract_x
_atom_site_fract_y
_atom_site_fract_z
_atom_site_occupancy
Cu1 Cu 0.222 0.084 0.232 1
Hg1 Hg 0.000 0.198 0.750 1
Hg2 Hg 0.000 0.327 0.250 1
Cl1 Cl 0.106 0.379 0.656 1
Cl2 Cl 0.144 0.019 0.911 1
Cl3 Cl 0.153 0.291 0.184 1

---

No. 8
# Cu2HgCl, optimized geometry, DFT PBE
# DOS(E_F) = 0.1270 states/eV per atom
# Distance to the lowest polymorph of the same formula = 280.8 meV/atom
data_Cu2HgCl
_chemical_formula_sum 'Cu2 Hg1 Cl1'
_space_group_name_H-M_alt 'P m m m'
_space_group_IT_number 47
_space_group_name_Hall '-P 2 2'
_cell_length_a 3.191
_cell_length_b 4.007
_cell_length_c 6.127
_cell_angle_alpha 90.00
_cell_angle_beta 90.00
_cell_angle_gamma 90.00
loop_
_atom_site_label
_atom_site_type_symbol
_atom_site_fract_x
_atom_site_fract_y
_atom_site_fract_z
_atom_site_occupancy
Cu1 Cu 0.000 0.000 0.000 1
Cu2 Cu 0.500 0.000 0.500 1
Hg1 Hg 0.000 0.500 0.500 1
Cl1 Cl 0.500 0.500 0.000 1

---

No. 9
# CuHg2Cl, optimized geometry, DFT PBE
# DOS(E_F) = 0.0837 states/eV per atom
# Distance to the lowest polymorph of the same formula = 78.5 meV/atom
data_CuHg2Cl
_chemical_formula_sum 'Cu2 Hg4 Cl2'
_space_group_name_H-M_alt 'C 1 2/m 1'
_space_group_IT_number 12
_space_group_name_Hall '-C 2y'
_cell_length_a 6.328
_cell_length_b 3.657
_cell_length_c 8.034
_cell_angle_alpha 90.00
_cell_angle_beta 105.27
_cell_angle_gamma 90.00
loop_
_atom_site_label
_atom_site_type_symbol
_atom_site_fract_x
_atom_site_fract_y
_atom_site_fract_z
_atom_site_occupancy
Cu1 Cu 0.000 0.000 0.000 1
Hg1 Hg 0.241 0.500 0.223 1
Cl1 Cl 0.000 0.500 0.500 1

---

No. 10
# CuHgCl, optimized geometry, DFT PBE
# DOS(E_F) = 0.0658 states/eV per atom
# Distance to the lowest polymorph of the same formula = 97.3 meV/atom
data_CuHgCl
_chemical_formula_sum 'Cu4 Hg4 Cl4'
_space_group_name_H-M_alt 'F m m 2'
_space_group_IT_number 42
_space_group_name_Hall 'F 2 -2'
_cell_length_a 3.644
_cell_length_b 6.424
_cell_length_c 12.373
_cell_angle_alpha 90.00
_cell_angle_beta 90.00
_cell_angle_gamma 90.00
loop_
_atom_site_label
_atom_site_type_symbol
_atom_site_fract_x
_atom_site_fract_y
_atom_site_fract_z
_atom_site_occupancy
Cu1 Cu 0.000 0.000 0.000 1
Hg1 Hg 0.000 0.000 0.337 1
Cl1 Cl 0.000 0.000 0.609 1

---

No. 11
# Cu2HgCl, optimized geometry, DFT PBE
# DOS(E_F) = 0.1737 states/eV per atom
# Distance to the lowest polymorph of the same formula = 86.1 meV/atom
data_Cu2HgCl
_chemical_formula_sum 'Cu2 Hg1 Cl1'
_space_group_name_H-M_alt 'P 1 2/m 1'
_space_group_IT_number 10
_space_group_name_Hall '-P 2y'
_cell_length_a 3.884
_cell_length_b 3.263
_cell_length_c 6.122
_cell_angle_alpha 90.00
_cell_angle_beta 90.07
_cell_angle_gamma 90.00
loop_
_atom_site_label
_atom_site_type_symbol
_atom_site_fract_x
_atom_site_fract_y
_atom_site_fract_z
_atom_site_occupancy
Cu1 Cu 0.000 0.000 0.194 1
Hg1 Hg 0.500 0.500 0.000 1
Cl1 Cl 0.000 0.500 0.500 1

---

No. 12
# Cu4HgCl, optimized geometry, DFT PBE
# DOS(E_F) = 0.7233 states/eV per atom
# Final energy = -2.8432 eV/atom
data_Cu4HgCl
_chemical_formula_sum 'Cu16 Hg4 Cl4'
_space_group_name_H-M_alt 'F -4 3 m'
_space_group_IT_number 216
_space_group_name_Hall 'F -4 2 3'
_cell_length_a 7.236
_cell_length_b 7.236
_cell_length_c 7.236
_cell_angle_alpha 90.00
_cell_angle_beta 90.00
_cell_angle_gamma 90.00
loop_
_atom_site_label
_atom_site_type_symbol
_atom_site_fract_x
_atom_site_fract_y
_atom_site_fract_z
_atom_site_occupancy
Cu1 Cu 0.125 0.125 0.125 1
Hg1 Hg 0.000 0.000 0.500 1
Cl1 Cl 0.250 0.250 0.750 1

---

no.,total moment (μB per cell)
1,0.5
2,0.0
3,0.0
4,0.0
5,4.7
6,4.2
7,0.0
8,0.0
9,0.0
10,0.0
11,0.0
12,0.0